No. 1
The following is a DFT calculation (GGA-PBE) of an optimized crystal structure of ScFeReGe.

Values from the calculation:
As for the total magnetization: 1.746 Bohr magnetons per cell. Its space group is F-43m. As for the total DFT energy (no corrections): -31.42 eV/cell.

Unit cell a=4.366 b=4.366 c=4.366 alpha=60.00 beta=60.00 gamma=60.00
Positions (direct):
Sc  0.000  0.000  0.000
Fe  0.750  0.750  0.750
Re  0.250  0.250  0.250
Ge  0.500  0.500  0.500

No. 2
The following is a DFT calculation (GGA-PBE) of an optimized crystal structure of FeReGeW.

Values from the calculation:
As for the total magnetization: 0.829 Bohr magnetons per cell. Its space group is F-43m. As for the total DFT energy (no corrections): -37.51 eV/cell.

Unit cell a=4.300 b=4.300 c=4.300 alpha=60.00 beta=60.00 gamma=60.00
Positions (direct):
Fe  0.000  0.000  0.000
Re  0.500  0.500  0.500
Ge  0.750  0.750  0.750
W  0.250  0.250  0.250

No. 3
The following is a DFT calculation (GGA-PBE) of an optimized crystal structure of YFeReGe.

Values from the calculation:
As for the total magnetization: 1.954 Bohr magnetons per cell. Its space group is F-43m. As for the total DFT energy (no corrections): -30.46 eV/cell.

Unit cell a=4.516 b=4.516 c=4.516 alpha=60.00 beta=60.00 gamma=60.00
Positions (direct):
Y  0.000  0.000  0.000
Fe  0.750  0.750  0.750
Re  0.250  0.250  0.250
Ge  0.500  0.500  0.500

No. 4
The following is a DFT calculation (GGA-PBE) of an optimized crystal structure of YFeReGe.

Values from the calculation:
As for the total magnetization: 3.880 Bohr magnetons per cell. Its space group is F-43m. As for the total DFT energy (no corrections): -30.09 eV/cell.

Unit cell a=4.622 b=4.622 c=4.622 alpha=60.00 beta=60.00 gamma=60.00
Positions (direct):
Y  0.000  0.000  0.000
Fe  0.500  0.500  0.500
Re  0.750  0.750  0.750
Ge  0.250  0.250  0.250

No. 5
The following is a DFT calculation (GGA-PBE) of an optimized crystal structure of ZrFeReGe.

Values from the calculation:
As for the total magnetization: 3.814 Bohr magnetons per cell. Its space group is F-43m. As for the total DFT energy (no corrections): -33.06 eV/cell.

Unit cell a=4.501 b=4.501 c=4.501 alpha=60.00 beta=60.00 gamma=60.00
Positions (direct):
Zr  0.000  0.000  0.000
Fe  0.500  0.500  0.500
Re  0.750  0.750  0.750
Ge  0.250  0.250  0.250

No. 6
The following is a DFT calculation (GGA-PBE) of an optimized crystal structure of ZrFeReGe.

Values from the calculation:
As for the total magnetization: 0.949 Bohr magnetons per cell. Its space group is F-43m. As for the total DFT energy (no corrections): -33.97 eV/cell.

Unit cell a=4.417 b=4.417 c=4.417 alpha=60.00 beta=60.00 gamma=60.00
Positions (direct):
Zr  0.000  0.000  0.000
Fe  0.750  0.750  0.750
Re  0.250  0.250  0.250
Ge  0.500  0.500  0.500

No. 7
The following is a DFT calculation (GGA-PBE) of an optimized crystal structure of FeGe2S4.

Values from the calculation:
As for the total magnetization: 0.019 Bohr magnetons per cell. Its space group is P4_122. As for the total DFT energy (no corrections): -142.78 eV/cell.

Unit cell a=7.313 b=7.313 c=9.926 alpha=90.00 beta=90.00 gamma=90.00
Positions (direct):
Fe  0.000  0.244  0.000
Fe  0.000  0.756  0.500
Fe  0.244  0.000  0.750
Fe  0.756  0.000  0.250
Ge  0.238  0.238  0.375
Ge  0.238  0.762  0.125
Ge  0.248  0.500  0.750
Ge  0.500  0.248  0.000
Ge  0.500  0.752  0.500
Ge  0.752  0.500  0.250
Ge  0.762  0.238  0.625
Ge  0.762  0.762  0.875
S  0.034  0.229  0.773
S  0.034  0.771  0.727
S  0.227  0.461  0.006
S  0.227  0.539  0.494
S  0.229  0.034  0.977
S  0.229  0.966  0.523
S  0.461  0.227  0.744
S  0.461  0.773  0.756
S  0.539  0.227  0.256
S  0.539  0.773  0.244
S  0.771  0.034  0.023
S  0.771  0.966  0.477
S  0.773  0.461  0.994
S  0.773  0.539  0.506
S  0.966  0.229  0.227
S  0.966  0.771  0.273

No. 8
The following is a DFT calculation (GGA-PBE) of an optimized crystal structure of TlFeGeS3.

Values from the calculation:
As for the total magnetization: 5.975 Bohr magnetons per cell. Its space group is P2_1/m. As for the total DFT energy (no corrections): -58.82 eV/cell.

Unit cell a=8.008 b=3.375 c=10.521 alpha=90.00 beta=109.53 gamma=90.00
Positions (direct):
Tl  0.044  0.250  0.263
Tl  0.956  0.750  0.737
Fe  0.484  0.750  0.888
Fe  0.516  0.250  0.112
Ge  0.419  0.250  0.568
Ge  0.581  0.750  0.432
S  0.214  0.750  0.562
S  0.295  0.250  0.906
S  0.387  0.750  0.211
S  0.613  0.250  0.789
S  0.705  0.750  0.094
S  0.786  0.250  0.438

No. 9
The following is a DFT calculation (GGA-PBE) of an optimized crystal structure of FeGeSb.

Values from the calculation:
As for the total magnetization: 0.026 Bohr magnetons per cell. Its space group is F-43m. As for the total DFT energy (no corrections): -16.72 eV/cell.

Unit cell a=4.227 b=4.227 c=4.227 alpha=60.00 beta=60.00 gamma=60.00
Positions (direct):
Fe  0.000  0.000  0.000
Ge  0.750  0.750  0.750
Sb  0.250  0.250  0.250

No. 10
The following is a DFT calculation (GGA-PBE) of an optimized crystal structure of FeGe2Sb.

Values from the calculation:
As for the total magnetization: 1.684 Bohr magnetons per cell. Its space group is F-43m. As for the total DFT energy (no corrections): -19.60 eV/cell.

Unit cell a=4.632 b=4.632 c=4.632 alpha=60.00 beta=60.00 gamma=60.00
Positions (direct):
Fe  0.000  0.000  0.000
Ge  0.250  0.250  0.250
Ge  0.500  0.500  0.500
Sb  0.750  0.750  0.750

No. 11
The following is a DFT calculation (GGA-PBE) of an optimized crystal structure of FeGeSb2.

Values from the calculation:
As for the total magnetization: 2.461 Bohr magnetons per cell. Its space group is F-43m. As for the total DFT energy (no corrections): -18.74 eV/cell.

Unit cell a=4.846 b=4.846 c=4.846 alpha=60.00 beta=60.00 gamma=60.00
Positions (direct):
Fe  0.000  0.000  0.000
Ge  0.750  0.750  0.750
Sb  0.250  0.250  0.250
Sb  0.500  0.500  0.500

No. 12
The following is a DFT calculation (GGA-PBE) of an optimized crystal structure of Sc2FeGe.

Values from the calculation:
As for the total magnetization: 0.001 Bohr magnetons per cell. Its space group is F-43m. As for the total DFT energy (no corrections): -26.63 eV/cell.

Unit cell a=4.471 b=4.471 c=4.471 alpha=60.00 beta=60.00 gamma=60.00
Positions (direct):
Sc  0.000  0.000  0.000
Sc  0.250  0.250  0.250
Fe  0.500  0.500  0.500
Ge  0.750  0.750  0.750

No. 13
The following is a DFT calculation (GGA-PBE) of an optimized crystal structure of ScFeGe2.

Values from the calculation:
As for the total magnetization: 11.722 Bohr magnetons per cell. Its space group is Pbam. As for the total DFT energy (no corrections): -312.44 eV/cell.

Unit cell a=9.210 b=10.041 c=8.039 alpha=90.00 beta=90.00 gamma=90.00
Positions (direct):
Sc  0.164  0.178  0.000
Sc  0.172  0.453  0.241
Sc  0.172  0.453  0.759
Sc  0.328  0.953  0.241
Sc  0.328  0.953  0.759
Sc  0.336  0.678  0.000
Sc  0.664  0.322  0.000
Sc  0.672  0.047  0.241
Sc  0.672  0.047  0.759
Sc  0.828  0.547  0.241
Sc  0.828  0.547  0.759
Sc  0.836  0.822  0.000
Fe  0.000  0.000  0.245
Fe  0.000  0.000  0.755
Fe  0.086  0.750  0.251
Fe  0.086  0.750  0.749
Fe  0.414  0.250  0.251
Fe  0.414  0.250  0.749
Fe  0.500  0.500  0.245
Fe  0.500  0.500  0.755
Fe  0.586  0.750  0.251
Fe  0.586  0.750  0.749
Fe  0.914  0.250  0.251
Fe  0.914  0.250  0.749
Ge  0.041  0.624  0.000
Ge  0.043  0.626  0.500
Ge  0.126  0.905  0.500
Ge  0.130  0.899  0.000
Ge  0.163  0.181  0.342
Ge  0.163  0.181  0.658
Ge  0.337  0.681  0.342
Ge  0.337  0.681  0.658
Ge  0.370  0.399  0.000
Ge  0.374  0.405  0.500
Ge  0.457  0.126  0.500
Ge  0.459  0.124  0.000
Ge  0.541  0.876  0.000
Ge  0.543  0.874  0.500
Ge  0.626  0.595  0.500
Ge  0.630  0.601  0.000
Ge  0.663  0.319  0.342
Ge  0.663  0.319  0.658
Ge  0.837  0.819  0.342
Ge  0.837  0.819  0.658
Ge  0.870  0.101  0.000
Ge  0.874  0.095  0.500
Ge  0.957  0.374  0.500
Ge  0.959  0.376  0.000

No. 14
The following is a DFT calculation (GGA-PBE) of an optimized crystal structure of Sc3Fe2Ge3.

Values from the calculation:
As for the total magnetization: 0.015 Bohr magnetons per cell. Its space group is Cmcm. As for the total DFT energy (no corrections): -109.18 eV/cell.

Unit cell a=5.440 b=5.440 c=13.110 alpha=90.00 beta=90.00 gamma=136.66
Positions (direct):
Sc  0.082  0.918  0.612
Sc  0.082  0.918  0.888
Sc  0.357  0.643  0.750
Sc  0.643  0.357  0.250
Sc  0.918  0.082  0.112
Sc  0.918  0.082  0.388
Fe  0.216  0.784  0.084
Fe  0.216  0.784  0.416
Fe  0.784  0.216  0.584
Fe  0.784  0.216  0.916
Ge  0.336  0.664  0.250
Ge  0.384  0.616  0.543
Ge  0.384  0.616  0.957
Ge  0.616  0.384  0.043
Ge  0.616  0.384  0.457
Ge  0.664  0.336  0.750

No. 15
The following is a DFT calculation (GGA-PBE) of an optimized crystal structure of ScFe2Ge.

Values from the calculation:
As for the total magnetization: 4.759 Bohr magnetons per cell. Its space group is F-43m. As for the total DFT energy (no corrections): -28.34 eV/cell.

Unit cell a=4.345 b=4.345 c=4.345 alpha=60.00 beta=60.00 gamma=60.00
Positions (direct):
Sc  0.000  0.000  0.000
Fe  0.250  0.250  0.250
Fe  0.500  0.500  0.500
Ge  0.750  0.750  0.750

No. 16
The following is a DFT calculation (GGA-PBE) of an optimized crystal structure of ScFe2Ge.

Values from the calculation:
As for the total magnetization: 4.758 Bohr magnetons per cell. Its space group is F-43m. As for the total DFT energy (no corrections): -28.34 eV/cell.

Unit cell a=4.344 b=4.344 c=4.344 alpha=60.00 beta=60.00 gamma=60.00
Positions (direct):
Sc  0.000  0.000  0.000
Fe  0.500  0.500  0.500
Fe  0.750  0.750  0.750
Ge  0.250  0.250  0.250

No. 17
The following is a DFT calculation (GGA-PBE) of an optimized crystal structure of ScFeGe2.

Values from the calculation:
As for the total magnetization: 0.992 Bohr magnetons per cell. Its space group is F-43m. As for the total DFT energy (no corrections): -23.88 eV/cell.

Unit cell a=4.497 b=4.497 c=4.497 alpha=60.00 beta=60.00 gamma=60.00
Positions (direct):
Sc  0.000  0.000  0.000
Fe  0.250  0.250  0.250
Ge  0.500  0.500  0.500
Ge  0.750  0.750  0.750

No. 18
The following is a DFT calculation (GGA-PBE) of an optimized crystal structure of Sc3Fe4Si2Ge2.

Values from the calculation:
As for the total magnetization: 6.688 Bohr magnetons per cell. Its space group is Immm. As for the total DFT energy (no corrections): -79.00 eV/cell.

Unit cell a=7.479 b=7.479 c=7.479 alpha=150.09 beta=127.05 gamma=62.01
Positions (direct):
Sc  0.000  0.000  0.000
Sc  0.375  0.875  0.500
Sc  0.625  0.125  0.500
Fe  0.007  0.316  0.690
Fe  0.374  0.684  0.690
Fe  0.626  0.316  0.310
Fe  0.993  0.684  0.310
Si  0.222  0.222  0.000
Si  0.778  0.778  0.000
Ge  0.302  0.500  0.802
Ge  0.698  0.500  0.198

No. 19
The following is a DFT calculation (GGA-PBE) of an optimized crystal structure of ScTaFeGe.

Values from the calculation:
As for the total magnetization: 1.602 Bohr magnetons per cell. Its space group is F-43m. As for the total DFT energy (no corrections): -30.71 eV/cell.

Unit cell a=4.450 b=4.450 c=4.450 alpha=60.00 beta=60.00 gamma=60.00
Positions (direct):
Sc  0.000  0.000  0.000
Ta  0.750  0.750  0.750
Fe  0.500  0.500  0.500
Ge  0.250  0.250  0.250

No. 20
The following is a DFT calculation (GGA-PBE) of an optimized crystal structure of Zr2ScFe4Ge4.

Values from the calculation:
As for the total magnetization: 6.124 Bohr magnetons per cell. Its space group is Immm. As for the total DFT energy (no corrections): -80.85 eV/cell.

Unit cell a=7.567 b=7.567 c=7.567 alpha=149.88 beta=127.73 gamma=61.51
Positions (direct):
Zr  0.127  0.127  0.000
Zr  0.873  0.873  0.000
Sc  0.500  0.000  0.500
Fe  0.129  0.322  0.807
Fe  0.486  0.678  0.807
Fe  0.514  0.322  0.193
Fe  0.871  0.678  0.193
Ge  0.199  0.500  0.699
Ge  0.283  0.783  0.500
Ge  0.717  0.217  0.500
Ge  0.801  0.500  0.301

No. 21
The following is a DFT calculation (GGA-PBE) of an optimized crystal structure of FeSi30Ge.

Values from the calculation:
As for the total magnetization: 0.006 Bohr magnetons per cell. Its space group is P1. As for the total DFT energy (no corrections): -173.72 eV/cell.

Unit cell a=8.623 b=9.445 c=9.446 alpha=70.53 beta=68.58 gamma=68.59
Positions (direct):
Fe  0.000  0.000  0.000
Si  0.000  0.238  0.000
Si  0.000  0.499  0.501
Si  0.001  0.246  0.249
Si  0.003  0.495  0.251
Si  0.239  0.820  0.059
Si  0.247  0.561  0.814
Si  0.247  0.813  0.311
Si  0.248  0.061  0.565
Si  0.248  0.564  0.063
Si  0.249  0.309  0.814
Si  0.250  0.061  0.314
Si  0.250  0.311  0.564
Si  0.495  0.625  0.377
Si  0.497  0.624  0.626
Si  0.497  0.875  0.874
Si  0.499  0.376  0.125
Si  0.499  0.875  0.624
Si  0.500  0.124  0.876
Si  0.500  0.125  0.125
Si  0.500  0.374  0.376
Si  0.749  0.437  0.687
Si  0.749  0.686  0.934
Si  0.750  0.186  0.690
Si  0.750  0.938  0.436
Si  0.751  0.186  0.439
Si  0.751  0.434  0.937
Si  0.760  0.945  0.179
Si  0.999  0.750  0.500
Si  0.999  0.751  0.751
Si  0.999  0.999  0.762
Ge  0.751  0.689  0.186